Computed, not measured: a relaxed TbAgRu crystal at the PBE-GGA level of DFT.

abc: 4.329 5.109 6.379
angles: 100.54 109.84 90.00
Atoms (fractional coordinates):
Ag 0.431 0.237 0.862
Ag 0.569 0.763 0.138
Tb 0.879 0.671 0.759
Tb 0.121 0.329 0.241
Ru 0.224 0.896 0.448
Ru 0.776 0.104 0.552

Results
Space group: C2/m (12)
Volume, Å³/f.u.: 65.09
Final energy, eV/cell: -34.149
Energy of formation, eV per formula unit: -0.3